(1)
DFT (PBEsol) results for a relaxed LiCeMo2O8 crystal.

Cell lengths 5.195, 5.195, 11.116 Å; angles 90.00, 90.00, 90.00 degrees
Space group I-4 (No. 82)
Asymmetric unit:
Li1 0.000 0.000 0.000 (multiplicity 2)
Ce1 0.000 0.500 0.750 (multiplicity 2)
Mo1 0.000 0.000 0.500 (multiplicity 2)
Mo2 0.000 0.500 0.250 (multiplicity 2)
O1 0.157 0.239 0.588 (multiplicity 8)
O2 0.157 0.745 0.164 (multiplicity 8)

Summary:
E_form (uncorrected): -2746 kJ/mol of formula units

=====

(2)
DFT (PBEsol) results for a relaxed Li2CeN2 crystal.

Cell lengths 3.5578, 3.5578, 5.3916 Å; angles 90.00, 90.00, 120.00 degrees
Space group P-3m1 (No. 164)
Asymmetric unit:
Li1 0.3333 0.6667 0.1056 (multiplicity 2)
Ce1 0.0000 0.0000 0.5000 (multiplicity 1)
N1 0.3333 0.6667 0.7254 (multiplicity 2)

Summary:
E_form (uncorrected): -512 kJ/mol of formula units

=====

(3)
DFT (PBEsol) results for a relaxed LiCeO2 crystal.

Cell lengths 5.818, 5.980, 5.710 Å; angles 90.00, 104.49, 90.00 degrees
Space group P2_1/c (No. 14)
Asymmetric unit:
Li1 0.162 0.131 0.175 (multiplicity 4)
Ce1 0.299 0.571 0.195 (multiplicity 4)
O1 0.063 0.636 0.802 (multiplicity 4)
O2 0.410 0.248 0.985 (multiplicity 4)

Summary:
E_form (uncorrected): -1055 kJ/mol of formula units

=====

(4)
DFT (PBEsol) results for a relaxed LiCeO3 crystal.

Cell lengths 3.622, 3.622, 3.622 Å; angles 90.00, 90.00, 90.00 degrees
Space group Pm-3m (No. 221)
Asymmetric unit:
Li1 0.000 0.000 0.000 (multiplicity 1)
Ce1 0.500 0.500 0.500 (multiplicity 1)
O1 0.000 0.000 0.500 (multiplicity 3)

Summary:
E_form (uncorrected): -1050 kJ/mol of formula units

=====

(5)
DFT (PBEsol) results for a relaxed LiCeW2O8 crystal.

Cell lengths 7.023, 7.355, 7.427 Å; angles 114.26, 115.89, 90.71 degrees
Space group P-1 (No. 2)
Asymmetric unit:
Li1 0.233 0.332 0.487 (multiplicity 2)
Ce1 0.320 0.710 0.039 (multiplicity 2)
W1 0.149 0.102 0.787 (multiplicity 2)
W2 0.243 0.706 0.468 (multiplicity 2)
O1 0.018 0.172 0.492 (multiplicity 2)
O2 0.053 0.459 0.251 (multiplicity 2)
O3 0.115 0.822 0.237 (multiplicity 2)
O4 0.208 0.005 0.983 (multiplicity 2)
O5 0.319 0.641 0.697 (multiplicity 2)
O6 0.324 0.362 0.940 (multiplicity 2)
O7 0.369 0.011 0.698 (multiplicity 2)
O8 0.466 0.692 0.407 (multiplicity 2)

Summary:
E_form (uncorrected): -2867 kJ/mol of formula units

=====

(6)
DFT (PBEsol) results for a relaxed Li2CeP2 crystal.

Cell lengths 4.1159, 4.1159, 6.5548 Å; angles 90.00, 90.00, 120.00 degrees
Space group P-3m1 (No. 164)
Asymmetric unit:
Li1 0.3333 0.6667 0.1230 (multiplicity 2)
Ce1 0.0000 0.0000 0.5000 (multiplicity 1)
P1 0.3333 0.6667 0.7297 (multiplicity 2)

Summary:
formation energy: -0.96 eV per atom

=====

(7)
DFT (PBEsol) results for a relaxed Li3CeSb2 crystal.

Cell lengths 4.5345, 4.5345, 7.2305 Å; angles 90.00, 90.00, 120.00 degrees
Space group P-3m1 (No. 164)
Asymmetric unit:
Li1 0.0000 0.0000 0.0000 (multiplicity 1)
Li2 0.3333 0.6667 0.1484 (multiplicity 2)
Ce1 0.0000 0.0000 0.5000 (multiplicity 1)
Sb1 0.3333 0.6667 0.7526 (multiplicity 2)

Summary:
E_form (uncorrected): -449 kJ/mol of formula units

=====

(8)
DFT (PBEsol) results for a relaxed Li2Ce2Si3 crystal.

Cell lengths 4.344, 18.125, 6.633 Å; angles 90.00, 90.00, 90.00 degrees
Space group Cmcm (No. 63)
Asymmetric unit:
Li1 0.000 0.189 0.061 (multiplicity 8)
Ce1 0.000 0.344 0.250 (multiplicity 4)
Ce2 0.000 0.450 0.750 (multiplicity 4)
Si1 0.000 0.059 0.572 (multiplicity 8)
Si2 0.000 0.280 0.750 (multiplicity 4)

Summary:
E_form (uncorrected): -371 kJ/mol of formula units

=====

(9)
DFT (PBEsol) results for a relaxed LiCeSn2 crystal.

Cell lengths 4.423, 18.741, 4.500 Å; angles 90.00, 90.00, 90.00 degrees
Space group Cmcm (No. 63)
Asymmetric unit:
Li1 0.000 0.176 0.250 (multiplicity 4)
Ce1 0.000 0.394 0.250 (multiplicity 4)
Sn1 0.000 0.044 0.250 (multiplicity 4)
Sn2 0.000 0.249 0.750 (multiplicity 4)

Summary:
formation energy: -0.49 eV per atom

=====

(10)
DFT (PBEsol) results for a relaxed LiCeTl2 crystal.

Cell lengths 7.322, 7.322, 7.322 Å; angles 90.00, 90.00, 90.00 degrees
Space group Fm-3m (No. 225)
Asymmetric unit:
Li1 0.000 0.000 0.000 (multiplicity 4)
Ce1 0.000 0.000 0.500 (multiplicity 4)
Tl1 0.250 0.250 0.250 (multiplicity 8)

Summary:
formation energy: -0.28 eV per atom

=====

(11)
DFT (PBEsol) results for a relaxed CeLu3 crystal.

Cell lengths 6.8742, 6.8742, 5.4589 Å; angles 90.00, 90.00, 120.00 degrees
Space group P6_3/mmc (No. 194)
Asymmetric unit:
Ce1 0.3333 0.6667 0.2500 (multiplicity 2)
Lu1 0.1676 0.3353 0.7500 (multiplicity 6)

Summary:
formation energy: 0.09 eV per atom

=====

(12)
DFT (PBEsol) results for a relaxed CeLuO3 crystal.

Cell lengths 5.918, 8.191, 5.696 Å; angles 90.00, 90.00, 90.00 degrees
Space group Pnma (No. 62)
Asymmetric unit:
Ce1 0.056 0.250 0.016 (multiplicity 4)
Lu1 0.000 0.000 0.500 (multiplicity 4)
O1 0.055 0.750 0.371 (multiplicity 4)
O2 0.193 0.567 0.810 (multiplicity 8)

Summary:
E_form (uncorrected): -1675 kJ/mol of formula units

=====

Number 1: volume 300 Å³ per cell. Number 2: volume 59 Å³ per cell. Number 3: volume 192 Å³ per cell. Number 4: volume 48 Å³ per cell. Number 5: volume 306 Å³ per cell. Number 6: volume 96 Å³ per cell. Number 7: volume 129 Å³ per cell. Number 8: volume 522 Å³ per cell. Number 9: volume 373 Å³ per cell. Number 10: volume 392 Å³ per cell. Number 11: volume 223 Å³ per cell. Number 12: volume 276 Å³ per cell.